Record 1
Tb2CdRe: optimized geometry, PBE.

Total magnetization, μB per cell: 0.00
Raw total energy, eV per atom: -5.6951
Calculated density, g cm⁻³: 10.8
DOS(E_F), states/eV per atom: 1.244
E_form, eV/atom: -0.04

a b c (Å): 3.503 3.503 7.744
angles (deg): 90.00 90.00 90.00
Space group P4/mmm (No. 123)
One atom of each set of equivalent atoms:
Tb: 0.000 0.000 0.214
Cd: 0.500 0.500 0.500
Re: 0.500 0.500 0.000

Record 2
LaTc4O12: optimized geometry, PBE.

Total magnetization, μB per cell: 0.00
Raw total energy, eV per atom: -7.9035
Calculated density, g cm⁻³: 5.3
DOS(E_F), states/eV per atom: 0.697
Formation energy without anion corrections, eV/atom: -1.675

a b c (Å): 7.694 7.694 7.694
angles (deg): 90.00 90.00 90.00
Space group Im-3m (No. 229)
One atom of each set of equivalent atoms:
La: 0.000 0.000 0.000
Tc: 0.250 0.250 0.250
O: 0.000 0.245 0.245